Compound: ZnBiP2Br
Source: Alexandria
Functional: GGA-PBE
Structure: relaxed

a = 4.9859 Å, b = 4.9859 Å, c = 4.8964 Å
α = 90.00°, β = 90.00°, γ = 90.00°
Fractional coordinates of all 5 atoms:
Zn 0.0000 0.0000 0.0000
Bi 0.5000 0.5000 0.0000
P 0.0000 0.5000 0.5000
P 0.5000 0.0000 0.5000
Br 0.0000 0.0000 0.5000

Output
- energy relative to the elements, uncorrected (eV per atom) = 0.97
- raw total energy (eV/atom) = -2.560
- space-group type = P4/mmm

---

Compound: PaBiBr
Source: Alexandria
Functional: GGA-PBE
Structure: relaxed

a = 5.1166 Å, b = 5.1166 Å, c = 3.7315 Å
α = 90.00°, β = 90.00°, γ = 120.00°
Fractional coordinates of all 3 atoms:
Pa 0.0000 0.0000 0.0000
Bi 0.6667 0.3333 0.5000
Br 0.3333 0.6667 0.0000

Output
- energy relative to the elements, uncorrected (eV per atom) = -0.39
- raw total energy (eV/atom) = -5.411
- space-group type = P-6m2

---

Compound: PaBiBr6
Source: Alexandria
Functional: GGA-PBE
Structure: relaxed

a = 6.6184 Å, b = 7.6817 Å, c = 8.0557 Å
α = 117.51°, β = 101.84°, γ = 96.13°
Fractional coordinates of all 8 atoms:
Pa 0.0000 0.0000 0.0000
Bi 0.5000 0.5000 0.0000
Br 0.1380 0.6334 0.8564
Br 0.2125 0.1012 0.7718
Br 0.3412 0.1941 0.3179
Br 0.6588 0.8059 0.6821
Br 0.7875 0.8988 0.2282
Br 0.8620 0.3666 0.1436

Output
- energy relative to the elements, uncorrected (eV per atom) = -1.04
- raw total energy (eV/atom) = -3.968
- space-group type = P-1

---

Compound: Bi2Pb2Br
Source: Alexandria
Functional: GGA-PBE
Structure: relaxed

a = 9.4006 Å, b = 9.4006 Å, c = 3.8044 Å
α = 90.00°, β = 90.00°, γ = 90.00°
Fractional coordinates of all 10 atoms:
Bi 0.1210 0.3790 0.0000
Bi 0.3790 0.8790 0.0000
Bi 0.6210 0.1210 0.0000
Bi 0.8790 0.6210 0.0000
Pb 0.1702 0.6702 0.5000
Pb 0.3298 0.1702 0.5000
Pb 0.6702 0.8298 0.5000
Pb 0.8298 0.3298 0.5000
Br 0.0000 0.0000 0.5000
Br 0.5000 0.5000 0.5000

Output
- energy relative to the elements, uncorrected (eV per atom) = -0.06
- raw total energy (eV/atom) = -3.430
- space-group type = P4/mbm
- offset from the most stable computed form (eV/f.u.) = 0.57